# 1
Density functional theory data (GGA-PBE) for a geometry-optimized NaPdAuSeS2 structure.

It has space group Cmcm (No. 63), with a = 3.5075 Å, b = 14.8165 Å, c = 10.1865 Å, α = 90.00°, β = 90.00° and γ = 90.00°. The inequivalent atoms are Na at (0.0000, 0.2122, 0.2500), Pd at (0.0000, 0.5000, 0.0000), Au at (0.0000, 0.1237, 0.7500), Se at (0.0000, 0.4465, 0.7500) and S at (0.0000, 0.1112, 0.5226).



# 2
Density functional theory data (GGA-PBE) for a geometry-optimized Gd3Sb2S structure.

It has space group P-3m1 (No. 164), with a = 4.2700 Å, b = 4.2700 Å, c = 10.4522 Å, α = 90.00°, β = 90.00° and γ = 120.00°. The inequivalent atoms are Gd at (0.0000, 0.0000, 0.0000), Gd at (0.3333, 0.6667, 0.3538), Sb at (0.3333, 0.6667, 0.8223) and S at (0.0000, 0.0000, 0.5000).



Calculated values (Ha/atom) of energy for the records, taken in order: -0.143 -0.213.